Entry 1:
Density functional theory data (PBE) for Sm2AlInO6 after structural relaxation.

Values from the calculation:
ΔE_f (raw): -2.854 eV per atom
E_tot: -7.421 eV per atom

a = 5.4642 Å, b = 5.7147 Å, c = 9.5705 Å
α = 90.00°, β = 124.60°, γ = 90.00°
Closest atoms and distances in Å follow each position.
Space group P2_1/c (No. 14)
Symmetry-distinct sites (fractional):
Sm (0.2333, 0.0596, 0.2509) [4 per cell]  5 O 2.31-2.56
Al (0.0000, 0.0000, 0.5000) [2 per cell]  6 O 1.93-1.97
In (0.5000, 0.0000, 0.0000) [2 per cell]  6 O 2.18-2.19
O (0.1219, 0.2148, 0.9398) [4 per cell]  1 Al 1.97, 1 In 2.18
O (0.2330, 0.6852, 0.9473) [4 per cell]  1 Al 1.93
O (0.3409, 0.0390, 0.7336) [4 per cell]  1 Al 1.95

---

Entry 2:
Density functional theory data (PBE) for ScTaCd4 after structural relaxation.

Values from the calculation:
calculated formation energy: 0.23 eV/atom
E_tot: -3.411 eV per atom

a = 7.9536 Å, b = 7.9536 Å, c = 7.9536 Å
α = 90.00°, β = 90.00°, γ = 90.00°
Closest atoms and distances in Å follow each position.
Space group F-43m (No. 216)
Symmetry-distinct sites (fractional):
Sc (0.0000, 0.0000, 0.0000) [4 per cell]  12 Cd 3.30, 4 Ta 3.44
Ta (0.2500, 0.2500, 0.7500) [4 per cell]  12 Cd 3.30, 4 Sc 3.44
Cd (0.1246, 0.1246, 0.3754) [16 per cell]  6 Cd 2.80-2.82

---

Entry 3:
Density functional theory data (PBE) for AlZn3Bi after structural relaxation.

Values from the calculation:
excess energy over the best structure of this formula in the dataset: 0 meV/atom
calculated formation energy: 0.44 eV/atom
E_tot: -1.848 eV per atom

a = 4.9034 Å, b = 4.9034 Å, c = 4.9034 Å
α = 90.00°, β = 90.00°, γ = 90.00°
Closest atoms and distances in Å follow each position.
Space group Pm-3m (No. 221)
Symmetry-distinct sites (fractional):
Al (0.0000, 0.0000, 0.0000) [1 per cell]  6 Zn 2.45
Zn (0.0000, 0.0000, 0.5000) [3 per cell]  2 Al 2.45
Bi (0.5000, 0.5000, 0.5000) [1 per cell]  12 Zn 3.47

---

Entry 4:
Density functional theory data (PBE) for UTiNbO6 after structural relaxation.

Values from the calculation:
ΔE_f (raw): -2.764 eV per atom
E_tot: -9.319 eV per atom

a = 5.3496 Å, b = 5.3496 Å, c = 9.0514 Å
α = 90.00°, β = 90.00°, γ = 120.00°
Closest atoms and distances in Å follow each position.
Space group P-31c (No. 163)
Symmetry-distinct sites (fractional):
U (0.3333, 0.6667, 0.2500) [2 per cell]  6 O 2.21
Ti (0.3333, 0.6667, 0.7500) [2 per cell]  6 O 2.05
Nb (0.0000, 0.0000, 0.0000) [2 per cell]  6 O 2.08
O (0.0241, 0.3343, 0.6275) [12 per cell]  1 Ti 2.05, 1 Nb 2.08, 1 U 2.21

---

no.,calculated density (g/cm³)
1,7.27
2,8.92
3,6.09
4,7.03